Record 1
Density functional theory data (GGA-PBE) for a geometry-optimized Pr6P2S3Cl structure.

Cell lengths 4.150, 8.322, 9.266 Å; angles 102.53, 102.94, 90.00 degrees
Sites, in units of the cell vectors:
P  0.835  0.670  0.669
P  0.165  0.330  0.331
Cl  0.500  0.000  0.000
Pr  0.003  0.274  0.005
Pr  0.676  0.095  0.352
Pr  0.331  0.420  0.662
Pr  0.324  0.905  0.648
Pr  0.669  0.580  0.338
Pr  0.997  0.726  0.995
S  0.500  0.500  0.000
S  0.163  0.835  0.326
S  0.837  0.165  0.674

Properties
* energy relative to the elements, uncorrected: -2096 kJ/mol of formula units
* space-group type: C2/m (12)
* N(E_F): 4.8 states/eV/cell

---

Record 2
Density functional theory data (GGA-PBE) for a geometry-optimized Sr3S2F2 structure.

Cell lengths 4.157, 7.016, 7.087 Å; angles 117.31, 107.05, 90.00 degrees
Sites, in units of the cell vectors:
Sr  0.793  0.294  0.586
Sr  0.000  0.000  0.000
Sr  0.207  0.706  0.414
F  0.810  0.667  0.621
F  0.190  0.333  0.379
S  0.597  0.842  0.195
S  0.403  0.158  0.805

Properties
* energy relative to the elements, uncorrected: -1905 kJ/mol of formula units
* space-group type: C2/m (12)
* N(E_F): 0.0 states/eV/cell

---

Record 3
Density functional theory data (GGA-PBE) for a geometry-optimized Ca2TlHg2Bi2 structure.

Cell lengths 5.402, 5.402, 9.232 Å; angles 72.99, 72.99, 60.00 degrees
Sites, in units of the cell vectors:
Hg  0.559  0.559  0.322
Hg  0.441  0.441  0.678
Tl  0.000  0.000  0.000
Bi  0.738  0.738  0.785
Bi  0.262  0.262  0.215
Ca  0.128  0.128  0.615
Ca  0.872  0.872  0.385

Properties
* raw total energy: -0.0901 hartree per atom
* space-group type: R-3m (166)
* N(E_F): 3.8 states/eV/cell

---

Record 4
Density functional theory data (GGA-PBE) for a geometry-optimized LuZrMnIr structure.

Cell lengths 4.648, 4.648, 4.648 Å; angles 60.00, 60.00, 60.00 degrees
Each line ends with the local moment (μB).
Sites, in units of the cell vectors:
Zr  0.250  0.250  0.250  -0.17
Ir  0.000  0.000  0.000  0.00
Lu  0.750  0.750  0.750  -0.07
Mn  0.500  0.500  0.500  0.91

Properties
* raw total energy: -0.3004 hartree per atom
* space-group type: F-43m (216)
* N(E_F): 4.8 states/eV/cell

---

Record 5
Density functional theory data (GGA-PBE) for a geometry-optimized DyMgP2Rh5 structure.

Cell lengths 4.114, 4.114, 9.502 Å; angles 90.00, 90.00, 90.00 degrees
Sites, in units of the cell vectors:
Rh  0.500  0.500  0.500
Rh  0.500  0.000  0.831
Rh  0.500  0.000  0.169
Rh  0.000  0.500  0.169
Rh  0.000  0.500  0.831
Mg  0.000  0.000  0.000
Dy  0.000  0.000  0.500
P  0.500  0.500  0.736
P  0.500  0.500  0.264

Properties
* raw total energy: -0.2408 hartree per atom
* space-group type: P4/mmm (123)
* N(E_F): 3.5 states/eV/cell

---

Record 6
Density functional theory data (GGA-PBE) for a geometry-optimized RbTe2OsI structure.

Cell lengths 5.246, 5.246, 6.115 Å; angles 90.00, 90.00, 90.00 degrees
Each line ends with the local moment (μB).
Sites, in units of the cell vectors:
Te  0.500  0.000  0.000  0.03
Te  0.000  0.500  0.000  0.03
I  0.000  0.000  0.500  0.00
Os  0.000  0.000  0.000  0.12
Rb  0.500  0.500  0.500  0.00

Properties
* energy relative to the elements, uncorrected: 33 kJ/mol of formula units
* space-group type: P4/mmm (123)
* E above lowest polymorph: 0 meV per atom
* N(E_F): 6.5 states/eV/cell

---

Record 7
Density functional theory data (GGA-PBE) for a geometry-optimized Mg2ScS4 structure.

Cell lengths 3.534, 6.322, 12.381 Å; angles 90.00, 90.00, 106.23 degrees
Sites, in units of the cell vectors:
S  0.783  0.565  0.379
S  0.966  0.932  0.750
S  0.217  0.435  0.621
S  0.034  0.068  0.250
S  0.217  0.435  0.879
S  0.783  0.565  0.121
S  0.500  0.000  0.000
S  0.500  0.000  0.500
Sc  0.379  0.758  0.250
Sc  0.621  0.242  0.750
Mg  0.867  0.734  0.929
Mg  0.133  0.266  0.071
Mg  0.133  0.266  0.429
Mg  0.867  0.734  0.571

Properties
* energy relative to the elements, uncorrected: -895 kJ/mol of formula units
* space-group type: Cmcm (63)
* N(E_F): 5.7 states/eV/cell

---

Record 8
Density functional theory data (GGA-PBE) for a geometry-optimized B5C7 structure.

Cell lengths 2.621, 2.621, 13.254 Å; angles 90.00, 90.00, 120.00 degrees
Sites, in units of the cell vectors:
C  0.000  0.000  0.492
C  0.000  0.000  0.377
C  0.667  0.333  0.223
C  0.333  0.667  0.672
C  0.333  0.667  0.049
C  0.667  0.333  0.335
C  0.000  0.000  0.010
B  0.667  0.333  0.818
B  0.000  0.000  0.890
B  0.333  0.667  0.530
B  0.333  0.667  0.171
B  0.667  0.333  0.682

Properties
* space-group type: P3m1 (156)
* E above lowest polymorph: 166 meV per atom
* N(E_F): 3.5 states/eV/cell

---

Record 9
Density functional theory data (GGA-PBE) for a geometry-optimized Th2Te3Rh structure.

Cell lengths 4.392, 12.695, 12.434 Å; angles 90.00, 90.00, 90.00 degrees
Sites, in units of the cell vectors:
Te  0.250  0.058  0.882
Te  0.250  0.698  0.190
Te  0.750  0.198  0.310
Te  0.750  0.302  0.810
Te  0.750  0.942  0.118
Te  0.750  0.888  0.447
Te  0.250  0.802  0.690
Te  0.250  0.388  0.053
Te  0.250  0.112  0.553
Te  0.750  0.558  0.618
Te  0.250  0.442  0.382
Te  0.750  0.612  0.947
Th  0.750  0.183  0.041
Th  0.750  0.989  0.705
Th  0.250  0.683  0.459
Th  0.750  0.317  0.541
Th  0.250  0.817  0.959
Th  0.250  0.011  0.295
Th  0.750  0.511  0.205
Th  0.250  0.489  0.795
Rh  0.250  0.290  0.681
Rh  0.750  0.710  0.319
Rh  0.750  0.790  0.819
Rh  0.250  0.210  0.181

Properties
* energy relative to the elements, uncorrected: -636 kJ/mol of formula units
* space-group type: Pnma (62)
* N(E_F): 15.0 states/eV/cell

---

Record 10
Density functional theory data (GGA-PBE) for a geometry-optimized Sn4BiTe6 structure.

Cell lengths 6.331, 6.370, 11.735 Å; angles 122.29, 104.72, 91.60 degrees
Sites, in units of the cell vectors:
Sn  0.017  0.155  0.662
Sn  0.356  0.833  0.338
Sn  0.850  0.293  0.317
Sn  0.533  0.658  0.683
Te  0.346  0.342  0.336
Te  0.682  0.073  0.000
Te  0.508  0.170  0.668
Te  0.010  0.668  0.663
Te  0.840  0.834  0.332
Te  0.148  0.508  0.000
Bi  0.210  0.966  0.000

Properties
* energy relative to the elements, uncorrected: -213 kJ/mol of formula units
* space-group type: P1 (1)
* N(E_F): 5.6 states/eV/cell

---

Record 11
Density functional theory data (GGA-PBE) for a geometry-optimized Li3TaO4 structure.

Cell lengths 6.078, 6.078, 9.400 Å; angles 71.31, 71.31, 90.07 degrees
Sites, in units of the cell vectors:
Li  0.439  0.645  0.875
Li  0.568  0.807  0.115
Li  0.305  0.057  0.636
Li  0.432  0.193  0.885
Li  0.561  0.355  0.125
Li  0.193  0.432  0.385
Li  0.355  0.561  0.625
Li  0.807  0.568  0.615
Li  0.943  0.695  0.864
Li  0.695  0.943  0.364
Li  0.057  0.305  0.136
Li  0.645  0.439  0.375
O  0.572  0.821  0.633
O  0.428  0.179  0.367
O  0.301  0.578  0.118
O  0.948  0.167  0.388
O  0.712  0.958  0.862
O  0.699  0.422  0.882
O  0.833  0.052  0.112
O  0.052  0.833  0.612
O  0.422  0.699  0.382
O  0.179  0.428  0.867
O  0.578  0.301  0.618
O  0.288  0.042  0.138
O  0.958  0.712  0.362
O  0.042  0.288  0.638
O  0.167  0.948  0.888
O  0.821  0.572  0.133
Ta  0.938  0.220  0.875
Ta  0.062  0.780  0.125
Ta  0.780  0.062  0.625
Ta  0.220  0.938  0.375

Properties
* energy relative to the elements, uncorrected: -1930 kJ/mol of formula units
* space-group type: C2/c (15)
* E above lowest polymorph: 0 meV per atom
* N(E_F): 0.0 states/eV/cell

---

Record 12
Density functional theory data (GGA-PBE) for a geometry-optimized Cs4Cd5Ag2 structure.

Cell lengths 6.029, 7.908, 9.463 Å; angles 88.51, 90.00, 90.00 degrees
Sites, in units of the cell vectors:
Cd  0.000  0.866  0.886
Cd  0.000  0.435  0.660
Cd  0.000  0.500  0.000
Cd  0.000  0.565  0.340
Cd  0.000  0.134  0.114
Ag  0.000  0.070  0.634
Ag  0.000  0.930  0.366
Cs  0.500  0.755  0.618
Cs  0.500  0.231  0.860
Cs  0.500  0.769  0.140
Cs  0.500  0.245  0.382

Properties
* raw total energy: -0.0454 hartree per atom
* space-group type: P2/m (10)
* N(E_F): 4.9 states/eV/cell

---

Look up the N(E_F) of the sixth one.
6.5 states/eV/cell